No. 1
# BaOsRu2 PBE relaxed
# **Mass density**: 11.036 g/cm3
# **Total DFT energy (no corrections)**: -29.05 eV per formula unit
# **Energy of formation**: 665 meV per atom
data_BaOsRu2
_cell_length_a 3.6763
_cell_length_b 2.8730
_cell_length_c 8.0865
_cell_angle_alpha 68.93
_cell_angle_beta 90.00
_cell_angle_gamma 90.00
_space_group_name_H-M_alt 'P 1'
_space_group_IT_number 1
_space_group_name_Hall 'P 1'
loop_
_atom_site_label
_atom_site_type_symbol
_atom_site_fract_x
_atom_site_fract_y
_atom_site_fract_z
Ba1 Ba 0.5000 0.2500 0.2500
Os1 Os 0.5000 0.7500 0.7500
Ru1 Ru 0.0000 0.0774 0.9198
Ru2 Ru 0.0000 0.4226 0.5802

***

No. 2
# BaOs2Ru PBE relaxed
# **Mass density**: 12.180 g/cm3
# **Total DFT energy (no corrections)**: -30.38 eV per formula unit
# **Energy of formation**: 820 meV per atom
data_BaOs2Ru
_cell_length_a 4.0873
_cell_length_b 2.9168
_cell_length_c 7.2298
_cell_angle_alpha 78.20
_cell_angle_beta 90.00
_cell_angle_gamma 90.00
_space_group_name_H-M_alt 'P 1'
_space_group_IT_number 1
_space_group_name_Hall 'P 1'
loop_
_atom_site_label
_atom_site_type_symbol
_atom_site_fract_x
_atom_site_fract_y
_atom_site_fract_z
Ba1 Ba 0.5000 0.6927 0.7404
Os1 Os 0.0000 0.0081 0.1095
Os2 Os 0.5000 0.4516 0.2222
Ru1 Ru 0.0000 0.3476 0.4279

***

No. 3
# Ba2OsRu PBE relaxed
# **Mass density**: 7.015 g/cm3
# **Total DFT energy (no corrections)**: -22.50 eV per formula unit
# **Energy of formation**: 462 meV per atom
data_Ba2OsRu
_cell_length_a 7.1726
_cell_length_b 7.1726
_cell_length_c 7.1726
_cell_angle_alpha 146.05
_cell_angle_beta 139.12
_cell_angle_gamma 54.15
_space_group_name_H-M_alt 'P 1'
_space_group_IT_number 1
_space_group_name_Hall 'P 1'
loop_
_atom_site_label
_atom_site_type_symbol
_atom_site_fract_x
_atom_site_fract_y
_atom_site_fract_z
Ba1 Ba 0.9927 0.9927 0.0000
Ba2 Ba 0.2567 0.7567 0.5000
Os1 Os 0.5834 0.5834 0.0000
Ru1 Ru 0.6671 0.1671 0.5000

***

No. 4
# BaOs2Ru PBE relaxed
# **Mass density**: 13.707 g/cm3
# **Total DFT energy (no corrections)**: -27.73 eV per formula unit
# **Energy of formation**: 1482 meV per atom
data_BaOs2Ru
_cell_length_a 5.0256
_cell_length_b 5.8979
_cell_length_c 2.8780
_cell_angle_alpha 78.68
_cell_angle_beta 83.58
_cell_angle_gamma 113.50
_space_group_name_H-M_alt 'P 1'
_space_group_IT_number 1
_space_group_name_Hall 'P 1'
loop_
_atom_site_label
_atom_site_type_symbol
_atom_site_fract_x
_atom_site_fract_y
_atom_site_fract_z
Ba1 Ba 0.5000 0.5000 0.0000
Os1 Os 0.0000 0.0000 0.0000
Os2 Os 0.5000 0.0000 0.5000
Ru1 Ru 0.0000 0.5000 0.5000

***

No. 5
# BaOsRu2 PBE relaxed
# **Mass density**: 11.791 g/cm3
# **Total DFT energy (no corrections)**: -26.65 eV per formula unit
# **Energy of formation**: 1264 meV per atom
data_BaOsRu2
_cell_length_a 4.7252
_cell_length_b 4.7252
_cell_length_c 4.7252
_cell_angle_alpha 60.00
_cell_angle_beta 60.00
_cell_angle_gamma 60.00
_space_group_name_H-M_alt 'P 1'
_space_group_IT_number 1
_space_group_name_Hall 'P 1'
loop_
_atom_site_label
_atom_site_type_symbol
_atom_site_fract_x
_atom_site_fract_y
_atom_site_fract_z
Ru1 Ru 0.2500 0.2500 0.2500
Ru2 Ru 0.7500 0.7500 0.7500
Os1 Os 0.5000 0.5000 0.5000
Ba1 Ba 0.0000 0.0000 0.0000

***

No. 6
# Ba2OsRu PBE relaxed
# **Mass density**: 5.853 g/cm3
# **Total DFT energy (no corrections)**: -21.15 eV per formula unit
# **Energy of formation**: 800 meV per atom
data_Ba2OsRu
_cell_length_a 11.7168
_cell_length_b 11.7168
_cell_length_c 8.6089
_cell_angle_alpha 47.12
_cell_angle_beta 47.12
_cell_angle_gamma 90.00
_space_group_name_H-M_alt 'P 1'
_space_group_IT_number 1
_space_group_name_Hall 'P 1'
loop_
_atom_site_label
_atom_site_type_symbol
_atom_site_fract_x
_atom_site_fract_y
_atom_site_fract_z
Ru1 Ru 0.5000 0.5000 0.0000
Ru2 Ru 0.2500 0.7500 0.5000
Os1 Os 0.0000 0.0000 0.0000
Os2 Os 0.7500 0.2500 0.5000
Ba1 Ba 0.4417 0.1250 0.2500
Ba2 Ba 0.3083 0.6250 0.2500
Ba3 Ba 0.3750 0.5583 0.7500
Ba4 Ba 0.8750 0.6917 0.7500

***

No. 7
# BaOs2Ru PBE relaxed
# **Mass density**: 13.681 g/cm3
# **Total DFT energy (no corrections)**: -29.11 eV per formula unit
# **Energy of formation**: 1137 meV per atom
data_BaOs2Ru
_cell_length_a 6.0177
_cell_length_b 6.0177
_cell_length_c 6.0177
_cell_angle_alpha 152.32
_cell_angle_beta 131.70
_cell_angle_gamma 56.58
_space_group_name_H-M_alt 'P 1'
_space_group_IT_number 1
_space_group_name_Hall 'P 1'
loop_
_atom_site_label
_atom_site_type_symbol
_atom_site_fract_x
_atom_site_fract_y
_atom_site_fract_z
Ba1 Ba 0.7500 0.2500 0.5000
Os1 Os 0.0331 0.0331 0.0000
Os2 Os 0.4669 0.4669 0.0000
Ru1 Ru 0.2500 0.7500 0.5000

***

No. 8
# BaOs2Ru PBE relaxed
# **Mass density**: 13.846 g/cm3
# **Total DFT energy (no corrections)**: -27.63 eV per formula unit
# **Energy of formation**: 1508 meV per atom
data_BaOs2Ru
_cell_length_a 5.3538
_cell_length_b 5.3538
_cell_length_c 2.8546
_cell_angle_alpha 90.00
_cell_angle_beta 90.00
_cell_angle_gamma 114.90
_space_group_name_H-M_alt 'P 1'
_space_group_IT_number 1
_space_group_name_Hall 'P 1'
loop_
_atom_site_label
_atom_site_type_symbol
_atom_site_fract_x
_atom_site_fract_y
_atom_site_fract_z
Ba1 Ba 0.0000 0.5000 0.5000
Os1 Os 0.0000 0.0000 0.0000
Os2 Os 0.5000 0.5000 0.0000
Ru1 Ru 0.5000 0.0000 0.5000